## SiAsCl (PBE)

Data for a relaxed structure of SiAsCl.

abc: 3.6098 3.6098 6.5602
angles: 90.00 90.00 120.00
Last column: nearest neighbours and their distance in Å.
Fractional positions:
Si 0.3333 0.6667 0.6979  3 As 2.38
As 0.0000 0.0000 0.8716  3 Si 2.38
Cl 0.6667 0.3333 0.4306  3 Si 2.72

Output
magnetization	0.000	μB per atom
symmetry	P3m1 (156)
E_form (uncorrected)	-0.42	eV per formula unit
E above lowest polymorph	380	meV/atom
final energy	-4.11	eV per atom
mass density	3.1	Mg/m³

---

## Li2AcTe2 (PBE)

Data for a relaxed structure of Li2AcTe2.

abc: 4.5641 4.5641 9.0128
angles: 75.33 75.33 60.00
Last column: nearest neighbours and their distance in Å.
Fractional positions:
Ac 0.0000 0.0000 0.0000  6 Te 3.40
Te 0.4162 0.4162 0.7515  3 Li 2.72
Li 0.2248 0.2248 0.3257  3 Te 2.72
Li 0.7752 0.7752 0.6743  3 Te 2.72
Te 0.5838 0.5838 0.2485  3 Li 2.72

Output
magnetization	0.000	μB per atom
symmetry	R-3m (166)
E_form (uncorrected)	-5.47	eV per formula unit
final energy	-3.94	eV per atom
mass density	5.3	Mg/m³

---

## AcNdMgPt (PBE)

Data for a relaxed structure of AcNdMgPt.

abc: 5.4066 5.4066 5.4066
angles: 60.00 60.00 60.00
Last column: nearest neighbours and their distance in Å.
Fractional positions:
Pt 0.0000 0.0000 0.0000  4 Nd 3.31, 4 Ac 3.31
Ac 0.2500 0.2500 0.2500  4 Mg 3.31, 4 Pt 3.31
Mg 0.5000 0.5000 0.5000  4 Ac 3.31, 4 Nd 3.31
Nd 0.7500 0.7500 0.7500  4 Mg 3.31, 4 Pt 3.31

Output
magnetization	0.000	μB per atom
energy of formation from the pure elements	-0.436	eV/atom
symmetry	F-43m (216)
final energy	-4.56	eV per atom
mass density	8.8	Mg/m³

---

## Ac3Sm2Cd3 (PBE)

Data for a relaxed structure of Ac3Sm2Cd3.

abc: 3.9757 5.7826 12.2854
angles: 103.61 99.31 90.00
Last column: nearest neighbours and their distance in Å.
Fractional positions:
Ac 0.3759 0.3759 0.7519  6 Cd 3.51-3.53, 4 Sm 3.87-3.90
Ac 0.6241 0.6241 0.2481  6 Cd 3.51-3.53, 4 Sm 3.87-3.90
Ac 0.5000 0.0000 0.0000  8 Cd 3.51-3.57
Sm 0.2650 0.7650 0.5299  2 Cd 3.25, 4 Sm 3.58
Sm 0.7350 0.2350 0.4701  2 Cd 3.25, 4 Sm 3.58
Cd 0.0000 0.5000 0.0000  8 Ac 3.51-3.53
Cd 0.1257 0.1257 0.2514  2 Sm 3.25, 6 Ac 3.51-3.57
Cd 0.8743 0.8743 0.7486  2 Sm 3.25, 6 Ac 3.51-3.57

Output
magnetization	0.000	μB per atom
energy of formation from the pure elements	-0.220	eV/atom
symmetry	Immm (71)
final energy	-3.28	eV per atom
mass density	8.1	Mg/m³